# 1
# K2Hg3Se4 GGA-PBE optimized geometry
# - Energy above the lowest structure with this stoichiometry: 0.0 kJ/mol of atoms
# - Crystal system: orthorhombic
# - Energy relative to the elements, uncorrected: -0.5848 eV/atom
data_K2Hg3Se4
_space_group_name_H-M_alt 'P b c n'
_space_group_IT_number 60
_space_group_name_Hall '-P 2n 2ab'
_cell_length_a 11.158
_cell_length_b 7.013
_cell_length_c 14.211
_cell_angle_alpha 90.00
_cell_angle_beta 90.00
_cell_angle_gamma 90.00
loop_
_atom_site_label
_atom_site_type_symbol
_atom_site_fract_x
_atom_site_fract_y
_atom_site_fract_z
K1 K 0.118 0.230 0.003
Hg1 Hg 0.000 0.407 0.750
Hg2 Hg 0.163 0.091 0.260
Se1 Se 0.130 0.371 0.371
Se2 Se 0.135 0.170 0.638

# 2
# KHg4Se GGA-PBE optimized geometry
# - Crystal system: cubic
# - Energy relative to the elements, uncorrected: -0.1187 eV/atom
data_KHg4Se
_space_group_name_H-M_alt 'F -4 3 m'
_space_group_IT_number 216
_space_group_name_Hall 'F -4 2 3'
_cell_length_a 8.866
_cell_length_b 8.866
_cell_length_c 8.866
_cell_angle_alpha 90.00
_cell_angle_beta 90.00
_cell_angle_gamma 90.00
loop_
_atom_site_label
_atom_site_type_symbol
_atom_site_fract_x
_atom_site_fract_y
_atom_site_fract_z
K1 K 0.000 0.000 0.000
Hg1 Hg 0.124 0.124 0.376
Se1 Se 0.250 0.250 0.750